YScBeIr | GGA-PBE | optimized geometry

Structure (POSCAR):
```
YScBeIr
1.0
4.709 0.000 0.000
2.355 4.079 0.000
2.355 1.360 3.845
Y Sc Ir Be
1 1 1 1
Direct
0.250 0.250 0.250
0.750 0.750 0.750
0.500 0.500 0.500
0.000 0.000 0.000
```

## Properties
**Formation energy from the elements**: -1.76 eV per formula unit
**Calculated total energy**: -27.141 eV/f.u.